# Na5VO4F2

A relaxed Na5VO4F2 crystal (GGA+U, Alexandria).

```
Na5VO4F2
1.0
5.5467 0.0000 0.0000
-2.7734 4.6526 0.0000
0.0000 0.0000 6.6782
O V F Na
4 1 2 5
Direct
0.3850 0.3044 0.0000 O
0.6067 0.0000 0.2106 O
0.0806 0.6956 0.0000 O
0.6067 0.0000 0.7894 O
0.4199 0.0000 0.0000 V
0.3586 0.3880 0.5000 F
0.9706 0.6120 0.5000 F
0.3980 0.0000 0.5000 Na
0.7076 0.6256 0.2465 Na
0.0821 0.3744 0.7535 Na
0.0821 0.3744 0.2465 Na
0.7076 0.6256 0.7535 Na
```

- Density: 2.581 g/cm³
- Final energy: -5.32 eV per atom
- M_tot: 0.008 μB per atom